Record 1
DFT (GGA-PBE) results for a relaxed structure of Ca6Pb5.

extended XYZ file:
```
11
Lattice="-2.7556 3.8087 8.4778 2.7556 -3.8087 8.4778 2.7556 3.8087 -8.4778" Properties=species:S:1:pos:R:3 pbc="T T T"
Ca 2.7556 1.8780 -2.8598
Ca 0.0000 1.8341 0.0000
Ca 2.7556 1.8780 2.8598
Ca 0.0000 1.9307 5.6180
Ca 0.0000 5.7833 0.0000
Ca 0.0000 1.9307 11.3375
Pb 0.0000 0.0000 2.7191
Pb 2.7556 0.0000 5.8226
Pb 0.0000 0.0000 8.4778
Pb 0.0000 3.8087 2.6552
Pb 0.0000 0.0000 14.2365
```

Computed properties:
Energy of formation in meV/atom: -502



Record 2
DFT (GGA-PBE) results for a relaxed structure of La3Nd7Tm.

extended XYZ file:
```
11
Lattice="5.9376 -5.1800 0.0000 5.9376 5.1800 0.0000 -0.4545 0.0000 6.5518" Properties=species:S:1:pos:R:3 pbc="T T T"
La 0.0000 0.0000 0.0000
La 5.7104 3.3724 3.2759
La 5.7104 -3.3724 3.2759
Nd 2.9890 1.7745 1.5570
Nd 2.5246 0.0000 4.6781
Nd 2.9890 -1.7745 1.5570
Nd 5.7104 0.0000 3.2759
Nd 8.4318 1.7745 4.9948
Nd 8.8962 0.0000 1.8737
Nd 8.4318 -1.7745 4.9948
Tm 5.9376 0.0000 0.0000
```

Computed properties:
Energy of formation in meV/atom: 219
Energy above the lowest structure with this stoichiometry in eV/atom: 0.000



Record 3
DFT (GGA-PBE) results for a relaxed structure of K4AlW.

extended XYZ file:
```
6
Lattice="0.0000 4.8701 4.8701 4.8701 0.0000 4.8701 4.8701 4.8701 0.0000" Properties=species:S:1:pos:R:3 pbc="T T T"
K 1.2155 1.2155 1.2155
K 3.6546 3.6546 1.2155
K 3.6546 1.2155 3.6546
K 1.2155 3.6546 3.6546
Al 4.8701 4.8701 4.8701
W 7.3052 7.3052 7.3052
```

Computed properties:
Energy of formation in meV/atom: 1411



Record 4
DFT (GGA-PBE) results for a relaxed structure of TiTl4S5.

extended XYZ file:
```
10
Lattice="-4.6271 4.6271 3.0398 4.6271 -4.6271 3.0398 4.6271 4.6271 -3.0398" Properties=species:S:1:pos:R:3 pbc="T T T"
Ti 0.0000 0.0000 0.0000
Tl 3.6599 1.8204 0.4574
Tl 2.8067 -0.9672 3.4972
Tl 1.8204 5.5943 0.4574
Tl 0.9672 2.8067 3.4972
S 7.0125 0.8003 0.4448
S 0.8003 2.2417 0.4448
S 0.0000 0.0000 3.7927
S 3.8268 2.3854 3.4846
S -2.3854 3.8268 3.4846
```

Computed properties:
Uncorrected formation energy in eV per atom: -0.5183